(1)
DFT (PBE) results for a geometry-optimized Pm2Ho2Cu structure.

POSCAR file:
```
Pm2Ho2Cu
1.0
3.527 0.000 0.000
0.000 3.527 0.000
0.000 0.000 22.699
Pm Ho Cu
4 4 2
direct
0.000 0.000 0.192
0.000 0.000 0.808
0.500 0.500 0.308
0.500 0.500 0.692
0.000 0.000 0.426
0.000 0.000 0.574
0.500 0.500 0.074
0.500 0.500 0.926
0.000 0.000 0.000
0.500 0.500 0.500
```

N(E_F)   13.3 states/eV per cell
Calculated total energy   -4.626 eV/atom



(2)
DFT (PBE) results for a geometry-optimized NaSn4 structure.

POSCAR file:
```
NaSn4
1.0
5.425 0.000 0.000
0.000 5.425 0.000
0.000 0.000 5.425
Na Sn
1 4
direct
0.000 0.000 0.000
0.000 0.000 0.500
0.000 0.500 0.000
0.500 0.000 0.000
0.500 0.500 0.500
```

N(E_F)   3.9 states/eV per cell
Calculated total energy   -2.869 eV/atom



(3)
DFT (PBE) results for a geometry-optimized HfTe2P structure.

POSCAR file:
```
HfTe2P
1.0
3.777 0.000 0.000
-1.888 3.271 0.000
0.000 0.000 27.389
Hf Te P
3 6 3
direct
0.000 0.000 0.000
0.333 0.667 0.667
0.667 0.333 0.333
0.000 0.000 0.402
0.000 0.000 0.598
0.333 0.667 0.068
0.333 0.667 0.265
0.667 0.333 0.735
0.667 0.333 0.932
0.000 0.000 0.500
0.333 0.667 0.167
0.667 0.333 0.833
```

N(E_F)   7.7 states/eV per cell
ΔE_f (raw)   -1.0 kJ per mole of atoms



(4)
DFT (PBE) results for a geometry-optimized InAg2F5 structure.

POSCAR file:
```
InAg2F5
1.0
10.369 0.000 0.000
0.000 6.930 0.000
0.000 0.000 6.378
In Ag F
4 8 20
direct
0.005 0.250 0.069
0.495 0.750 0.569
0.505 0.250 0.431
0.995 0.750 0.931
0.172 0.004 0.536
0.172 0.496 0.536
0.328 0.504 0.036
0.328 0.996 0.036
0.672 0.004 0.964
0.672 0.496 0.964
0.828 0.504 0.464
0.828 0.996 0.464
0.020 0.250 0.410
0.076 0.541 0.153
0.076 0.959 0.153
0.173 0.250 0.882
0.192 0.750 0.826
0.308 0.250 0.326
0.327 0.750 0.382
0.424 0.041 0.653
0.424 0.459 0.653
0.480 0.750 0.910
0.520 0.250 0.090
0.576 0.541 0.347
0.576 0.959 0.347
0.673 0.250 0.618
0.692 0.750 0.674
0.808 0.250 0.174
0.827 0.750 0.118
0.924 0.041 0.847
0.924 0.459 0.847
0.980 0.750 0.590
```

ΔE_f (raw)   -168.9 kJ per mole of atoms



(5)
DFT (PBE) results for a geometry-optimized TaCl2F structure.

POSCAR file:
```
TaCl2F
1.0
3.213 0.000 0.000
-1.607 2.783 0.000
0.000 0.000 23.701
Ta Cl F
3 6 3
direct
0.000 0.000 0.000
0.333 0.667 0.667
0.667 0.333 0.333
0.000 0.000 0.405
0.000 0.000 0.595
0.333 0.667 0.072
0.333 0.667 0.261
0.667 0.333 0.739
0.667 0.333 0.928
0.000 0.000 0.500
0.333 0.667 0.167
0.667 0.333 0.833
```

N(E_F)   3.9 states/eV per cell
Energy above the lowest structure with this stoichiometry   657 meV per atom
ΔE_f (raw)   -70.2 kJ per mole of atoms



(6)
DFT (PBE) results for a geometry-optimized La3USn12 structure.

POSCAR file:
```
La3USn12
1.0
4.763 0.000 0.000
0.000 4.763 0.000
0.000 0.000 19.031
La U Sn
3 1 12
direct
0.000 0.000 0.000
0.000 0.000 0.256
0.000 0.000 0.744
0.000 0.000 0.500
0.000 0.500 0.128
0.000 0.500 0.382
0.000 0.500 0.618
0.000 0.500 0.872
0.500 0.000 0.128
0.500 0.000 0.382
0.500 0.000 0.618
0.500 0.000 0.872
0.500 0.500 0.000
0.500 0.500 0.254
0.500 0.500 0.500
0.500 0.500 0.746
```

N(E_F)   13.4 states/eV per cell
Calculated total energy   -5.100 eV/atom



Calculated theoretical density in order - 8.0; 5.2; 6.8; 6.2; 6.4; 8.0 Mg/m³